Here is an optimized crystal structure of MnGeTeO6 from the Alexandria database. Energies are from PBE with a Hubbard U.

Cell: 5.0760 5.0760 9.5407 Å, 90.00 90.00 120.00°
Closest atoms and distances in Å follow each position.
Element x y z (fractional)
1 Mn 0.0000 0.0000 0.0000  6 O 2.27
2 Mn 0.0000 0.0000 0.5000  6 O 2.27
3 Ge 0.6667 0.3333 0.2500  6 O 1.93
4 Ge 0.3333 0.6667 0.7500  6 O 1.93
5 Te 0.3333 0.6667 0.2500  6 O 1.96
6 Te 0.6667 0.3333 0.7500  6 O 1.96
7 O 0.6390 0.6346 0.1380  1 Ge 1.93, 1 Te 1.96
8 O 0.9956 0.3610 0.1380  1 Ge 1.93, 1 Te 1.96
9 O 0.3610 0.9956 0.6380  1 Ge 1.93, 1 Te 1.96
10 O 0.0044 0.6390 0.8620  1 Ge 1.93, 1 Te 1.96
11 O 0.3654 0.3610 0.3620  1 Ge 1.93, 1 Te 1.96
12 O 0.9956 0.6346 0.3620  1 Ge 1.93, 1 Te 1.96
13 O 0.6346 0.9956 0.8620  1 Ge 1.93, 1 Te 1.96
14 O 0.6390 0.0044 0.3620  1 Ge 1.93, 1 Te 1.96
15 O 0.0044 0.3654 0.6380  1 Ge 1.93, 1 Te 1.96
16 O 0.3654 0.0044 0.1380  1 Ge 1.93, 1 Te 1.96
17 O 0.6346 0.6390 0.6380  1 Ge 1.93, 1 Te 1.96
18 O 0.3610 0.3654 0.8620  1 Ge 1.93, 1 Te 1.96

Summary:
VASP energy ... -115.137 eV per cell